Entry 1:
DFT (PBE) results for crystalline Dy2ErCo8Ni at its relaxed geometry.

Lattice parameters (Å, degrees): 8.6395 8.6395 8.6395 32.92 32.92 32.92
Site moments in Bohr magnetons follow the coordinates.
Sites, in units of the cell vectors:
Dy  0.1393  0.1393  0.1393  -0.35
Dy  0.8607  0.8607  0.8607  -0.35
Co  0.6661  0.6661  0.6661  1.37
Co  0.9203  0.4190  0.4190  1.14
Co  0.4190  0.9203  0.4190  1.30
Co  0.0797  0.5810  0.5810  1.14
Co  0.5810  0.0797  0.5810  1.30
Co  0.3339  0.3339  0.3339  1.37
Co  0.4190  0.4190  0.9203  1.19
Co  0.5810  0.5810  0.0797  1.19
Ni  0.5000  0.5000  0.5000  0.19
Er  0.0000  0.0000  0.0000  -0.32

- Crystal system: trigonal
- Energy of formation: -203 meV/atom

Entry 2:
DFT (PBE) results for crystalline DyEr2Co7Ni2 at its relaxed geometry.

Lattice parameters (Å, degrees): 8.6067 8.6067 8.6067 33.11 33.11 33.11
Site moments in Bohr magnetons follow the coordinates.
Sites, in units of the cell vectors:
Er  0.1398  0.1398  0.1398  -0.40
Er  0.8602  0.8602  0.8602  -0.40
Co  0.5829  0.5829  0.0802  1.25
Co  0.9198  0.4171  0.4171  1.22
Co  0.4171  0.4171  0.9198  1.25
Co  0.0802  0.5829  0.5829  1.22
Co  0.4171  0.9198  0.4171  1.40
Co  0.5829  0.0802  0.5829  1.40
Co  0.5000  0.5000  0.5000  1.08
Ni  0.6661  0.6661  0.6661  0.34
Ni  0.3339  0.3339  0.3339  0.34
Dy  0.0000  0.0000  0.0000  -0.28

- Crystal system: trigonal
- Energy of formation: -242 meV/atom

Entry 3:
DFT (PBE) results for crystalline DyErCo2Si2 at its relaxed geometry.

Lattice parameters (Å, degrees): 3.9488 3.9488 6.5949 90.00 90.00 90.00
Site moments in Bohr magnetons follow the coordinates.
Sites, in units of the cell vectors:
Si  0.5000  0.5000  0.1905  0.00
Si  0.0000  0.0000  0.8083  0.00
Er  0.5000  0.5000  0.6824  0.06
Co  0.0000  0.5000  0.9992  0.08
Co  0.5000  0.0000  0.9992  0.08
Dy  0.0000  0.0000  0.3204  0.05

- Crystal system: tetragonal
- Electronic total energy: -6.4569 eV per atom

Entry 4:
DFT (PBE) results for crystalline Sm3DyEr2CoTe2 at its relaxed geometry.

Lattice parameters (Å, degrees): 3.9758 8.4122 8.4122 120.15 90.00 90.00
Sites, in units of the cell vectors:
Co  0.0000  0.0027  0.0027
Er  0.5000  0.0000  0.2305
Er  0.5000  0.2305  0.0000
Sm  0.0000  0.4019  0.4019
Sm  0.0000  0.5970  0.0000
Sm  0.0000  0.0000  0.5970
Dy  0.5000  0.7684  0.7684
Te  0.5000  0.6668  0.3327
Te  0.5000  0.3327  0.6668

- Crystal system: orthorhombic
- Electronic total energy: -5.2885 eV per atom

Entry 5:
DFT (PBE) results for crystalline Sm3Dy2ErCoTe2 at its relaxed geometry.

Lattice parameters (Å, degrees): 3.9814 8.4222 8.4222 119.99 90.00 90.00
Sites, in units of the cell vectors:
Sm  0.0000  0.9999  0.5967
Sm  0.0000  0.5967  0.9999
Sm  0.0000  0.4037  0.4037
Er  0.5000  0.7689  0.7689
Te  0.5000  0.6666  0.3337
Te  0.5000  0.3337  0.6666
Dy  0.5000  0.9998  0.2315
Dy  0.5000  0.2315  0.9998
Co  0.0000  0.9991  0.9991

- Crystal system: orthorhombic
- Electronic total energy: -5.2901 eV per atom

Entry 6:
DFT (PBE) results for crystalline DyErCoSn2 at its relaxed geometry.

Lattice parameters (Å, degrees): 5.8446 5.8446 10.7749 114.48 114.48 44.25
Sites, in units of the cell vectors:
Er  0.9961  0.9961  0.8316
Er  0.0039  0.0039  0.1684
Dy  0.8123  0.8123  0.3755
Dy  0.1877  0.1877  0.6245
Co  0.2765  0.2765  0.1680
Co  0.7235  0.7235  0.8320
Sn  0.4766  0.4766  0.6234
Sn  0.6622  0.6622  0.0539
Sn  0.3378  0.3378  0.9461
Sn  0.5234  0.5234  0.3766

- Crystal system: monoclinic
- Electronic total energy: -5.4380 eV per atom

Entry 7:
DFT (PBE) results for crystalline Dy5Er2Co2Te2 at its relaxed geometry.

Lattice parameters (Å, degrees): 9.3432 9.3432 9.3432 156.38 66.29 119.08
Sites, in units of the cell vectors:
Dy  0.1818  0.6818  0.5000
Dy  0.2627  0.4111  0.8515
Dy  0.8985  0.2643  0.6342
Dy  0.6301  0.2643  0.3658
Dy  0.5596  0.4111  0.1485
Co  0.4898  0.7529  0.7369
Co  0.0159  0.7529  0.2631
Te  0.5185  0.0185  0.5000
Te  0.9177  0.9177  0.0000
Er  0.2457  0.0600  0.1857
Er  0.8743  0.0600  0.8143

- Crystal system: orthorhombic
- Electronic total energy: -5.3960 eV per atom

Entry 8:
DFT (PBE) results for crystalline Dy3Er3CoTe2 at its relaxed geometry.

Lattice parameters (Å, degrees): 8.3188 8.3188 3.8751 90.00 90.00 120.00
Sites, in units of the cell vectors:
Er  0.0000  0.5986  0.5000
Er  0.4014  0.4014  0.5000
Er  0.5986  0.0000  0.5000
Te  0.3333  0.6667  0.0000
Te  0.6667  0.3333  0.0000
Dy  0.2355  0.0000  0.0000
Dy  0.7645  0.7645  0.0000
Dy  0.0000  0.2355  0.0000
Co  0.0000  0.0000  0.5000

- Crystal system: hexagonal
- Distance to the lowest polymorph of the same formula: 0.751 kcal/mol of atoms

> What is the formula in the first record?

Dy2ErCo8Ni